4
Lattice="-5.058 0.045 1.751 -3.933 -1.831 -3.134 -2.457 -4.601 1.202" Properties=species:S:1:pos:R:3 comment="PBE-GGA AcPrCuAu, relaxed" crystal_system=cubic de_polymorph_mev_per_atom=55 n_ef_per_ev_cell=2.748 magnetic_moment_mub_per_fu=0.000 pbc="T T T"
Cu -8.586 -4.791 -0.136
Ac 0.000 0.000 0.000
Pr -5.724 -3.194 -0.091
Au -2.862 -1.597 -0.045

4
Lattice="4.150 0.000 0.000 0.000 4.765 0.000 -2.075 0.000 5.623" Properties=species:S:1:pos:R:3 comment="PBE-GGA AcPrCuAu, relaxed" crystal_system=orthorhombic de_polymorph_mev_per_atom=0 n_ef_per_ev_cell=3.630 magnetic_moment_mub_per_fu=0.000 pbc="T T T"
Ac 0.000 0.000 1.594
Au 2.075 2.383 0.798
Pr 2.075 2.383 4.076
Cu 0.000 0.000 4.778

10
Lattice="-2.665 -3.432 -1.132 6.328 -5.104 0.578 -3.717 0.575 7.003" Properties=species:S:1:pos:R:3 comment="PBE-GGA Ac2CuPtAu, relaxed" e_tot_ev_per_atom=-5.04 crystal_system=monoclinic n_ef_per_ev_cell=5.423 magnetic_moment_mub_per_fu=0.000 pbc="T T T"
Au -2.143 -4.087 4.078
Pt -1.606 -3.097 -0.188
Ac -2.354 -1.749 6.388
Ac 0.852 -6.399 4.036
Ac 2.301 -6.213 0.060
Ac -0.905 -1.562 2.413
Cu -0.310 -4.636 1.425
Cu 0.257 -3.326 5.024
Au 2.090 -3.874 2.371
Pt 1.553 -4.864 6.636

12
Lattice="-0.516 2.438 -5.390 -6.188 -0.289 0.461 3.016 6.104 2.473" Properties=species:S:1:pos:R:3 comment="PBE-GGA AcCuPt3Au, relaxed" e_tot_ev_per_atom=-5.34 crystal_system=orthorhombic n_ef_per_ev_cell=7.666 magnetic_moment_mub_per_fu=0.000 pbc="T T T"
Au -3.505 3.558 -2.962
Pt -1.763 -0.082 0.131
Ac -0.434 5.435 -2.406
Au -0.182 4.695 0.506
Pt -4.425 -0.207 0.330
Pt -4.683 1.012 -2.365
Cu -0.399 2.736 -3.631
Pt -2.021 1.137 -2.563
Pt -3.537 6.005 -1.851
Cu -3.288 5.517 1.175
Pt -0.150 2.249 -0.604
Ac -3.253 2.818 -0.049

20
Lattice="-1.008 3.577 1.654 -4.332 2.598 -8.258 -8.318 -3.808 3.166" Properties=species:S:1:pos:R:3 comment="PBE-GGA Ac2Cu2Pt5Au, relaxed" e_tot_ev_per_atom=-5.66 crystal_system=tetragonal n_ef_per_ev_cell=8.269 magnetic_moment_mub_per_fu=0.000 pbc="T T T"
Pt -6.411 0.409 0.212
Ac -8.170 -2.287 -0.032
Pt -8.842 0.535 -1.543
Au 0.000 0.000 0.000
Au -6.325 -0.605 -2.546
Pt -7.325 -1.061 2.833
Cu -2.625 0.561 -2.813
Pt -6.333 3.429 -6.271
Pt -4.816 1.832 -1.895
Pt -4.663 -0.116 2.410
Cu -10.025 -1.771 -2.279
Pt -7.248 1.959 -3.650
Ac -9.220 -0.477 -4.585
Ac -3.430 -0.732 -0.507
Cu -5.616 -2.043 0.996
Cu -7.034 0.834 -6.089
Pt -2.670 3.088 -3.302
Ac -4.480 1.078 -5.060
Pt -1.914 2.110 -0.727
Pt -11.745 0.258 -2.711

10
Lattice="4.456 0.000 0.000 0.000 7.759 0.374 0.000 -2.877 7.364" Properties=species:S:1:pos:R:3 comment="PBE-GGA Ac2CuRhAu, relaxed" e_tot_ev_per_atom=-5.14 crystal_system=monoclinic n_ef_per_ev_cell=7.328 magnetic_moment_mub_per_fu=0.000 pbc="T T T"
Au 1.114 4.049 2.719
Rh 1.114 4.243 6.987
Cu 1.114 2.382 5.205
Au 3.342 0.833 5.020
Ac 3.342 5.419 0.688
Ac 1.114 -0.537 7.050
Rh 3.342 0.639 0.752
Cu 3.342 2.501 2.533
Ac 1.114 0.129 2.750
Ac 3.342 4.753 4.988

8
Lattice="6.531 0.000 0.000 3.266 5.043 -0.740 3.266 -0.177 5.094" Properties=species:S:1:pos:R:3 comment="PBE-GGA AcCu2AuS4, relaxed" e_tot_ev_per_atom=-4.64 crystal_system=tetragonal n_ef_per_ev_cell=5.626 magnetic_moment_mub_per_fu=0.000 pbc="T T T"
Ac 0.000 0.000 0.000
S 11.179 4.524 1.914
Cu 6.531 3.737 0.719
S 8.414 2.403 4.284
S 4.648 0.342 2.440
Cu 6.531 1.129 3.635
S 1.883 2.463 0.070
Au 3.266 2.433 2.177

12
Lattice="-4.904 -2.367 3.515 2.255 -3.338 -5.077 5.675 -4.056 5.187" Properties=species:S:1:pos:R:3 comment="PBE-GGA Ac3CuSb2Au6, relaxed" e_tot_ev_per_atom=-4.26 crystal_system=trigonal n_ef_per_ev_cell=5.421 magnetic_moment_mub_per_fu=0.000 pbc="T T T"
Sb 0.219 -3.265 -1.893
Cu 2.837 -2.028 2.593
Au 2.663 -4.199 3.943
Au 1.368 -6.987 3.179
Ac 3.495 -5.606 1.102
Au 0.266 -5.356 5.661
Ac 0.000 0.000 0.000
Ac -0.470 -4.154 2.523
Au 2.759 -4.405 -2.037
Sb 2.807 -6.496 5.517
Au 1.657 -2.773 0.445
Au 0.362 -5.562 -0.319

4
Lattice="5.170 0.000 0.000 2.585 4.477 0.000 2.585 1.492 4.221" Properties=species:S:1:pos:R:3 comment="PBE-GGA AcCuSbAu, relaxed" e_tot_ev_per_atom=-4.33 crystal_system=cubic n_ef_per_ev_cell=1.634 magnetic_moment_mub_per_fu=0.000 pbc="T T T"
Ac 5.170 2.985 2.111
Sb 0.000 0.000 0.000
Au 7.755 4.477 3.166
Cu 2.585 1.492 1.055

4
Lattice="-2.876 0.032 4.289 2.227 -0.690 4.607 0.352 3.944 3.315" Properties=species:S:1:pos:R:3 comment="PBE-GGA AcScCuAu, relaxed" e_tot_ev_per_atom=-4.78 crystal_system=cubic n_ef_per_ev_cell=4.500 magnetic_moment_mub_per_fu=0.000 pbc="T T T"
Cu -0.223 2.464 9.158
Sc 0.000 0.000 0.000
Au -0.074 0.821 3.053
Ac -0.148 1.643 6.106

12
Lattice="5.687 -0.478 0.337 2.199 5.266 0.337 1.359 0.825 8.591" Properties=species:S:1:pos:R:3 comment="PBE-GGA AcCuSi2Au8, relaxed" e_tot_ev_per_atom=-3.94 crystal_system=monoclinic n_ef_per_ev_cell=3.377 magnetic_moment_mub_per_fu=0.000 pbc="T T T"
Au 4.579 1.154 2.065
Si 2.656 1.612 6.698
Au 3.695 2.244 8.765
Au 5.838 3.544 4.786
Au 4.665 4.459 7.200
Si 6.589 4.000 2.568
Au 6.108 2.082 7.200
Ac 0.679 0.413 4.295
Cu 0.000 0.000 0.000
Au 5.549 3.369 0.500
Au 3.136 3.531 2.065
Au 3.407 2.069 4.479

9
Lattice="-3.181 0.619 -3.235 2.445 -2.571 -2.896 -4.539 -7.688 2.992" Properties=species:S:1:pos:R:3 comment="PBE-GGA AcCuSi2Au5, relaxed" e_tot_ev_per_atom=-4.18 crystal_system=tetragonal n_ef_per_ev_cell=4.242 magnetic_moment_mub_per_fu=0.000 pbc="T T T"
Si -3.782 -6.758 -0.815
Au -5.416 -6.169 0.904
Cu 0.000 0.000 0.000
Au -2.304 -0.899 -1.147
Au -2.638 -4.820 -1.569
Si -1.493 -2.881 -2.324
Au -2.603 -7.764 1.074
Ac -2.270 -3.844 1.496
Au 0.509 -2.494 -0.977